Mg3H2N: relaxed, PBE-GGA.

Unit cell a=5.508 b=5.508 c=5.426 alpha=99.29 beta=99.29 gamma=121.09
Fractional positions:
Mg 0.081 0.428 0.771
Mg 0.224 0.224 0.242
Mg 0.428 0.081 0.771
Mg 0.572 0.919 0.229
Mg 0.776 0.776 0.758
Mg 0.919 0.572 0.229
H 0.000 0.000 0.500
H 0.275 0.725 0.500
H 0.500 0.500 0.000
H 0.725 0.275 0.500
N 0.165 0.835 0.000
N 0.835 0.165 0.000

Results
The density of states at the Fermi level is 0.0461 states/eV/atom. The total energy is -43.3 eV per cell. Its space group is No. 12.